1.
## LiTc2F11 (PBE-GGA)

Data for LiTc2F11 after structural relaxation.

Cell lengths 10.9187, 8.5612, 8.5612 Å; angles 56.26, 50.38, 50.38 degrees
Closest atoms and distances in Å follow each position.
Element x y z (fractional)
Li: 0.7500 0.7500 0.7500  4 F 2.00
Li: 0.2500 0.2500 0.2500  4 F 2.00
Tc: 0.5910 0.7213 0.2787  6 F 1.86-2.04
Tc: 0.4090 0.2787 0.7213  6 F 1.86-2.04
Tc: 0.9090 0.2213 0.7787  6 F 1.86-2.04
Tc: 0.0910 0.7787 0.2213  6 F 1.86-2.04
F: 0.5518 0.7706 0.4960  1 Tc 1.86
F: 0.4482 0.2294 0.5040  1 Tc 1.86
F: 0.1816 0.4960 0.7706  1 Tc 1.86
F: 0.9482 0.0040 0.7294  1 Tc 1.86
F: 0.8184 0.5040 0.2294  1 Tc 1.86
F: 0.0518 0.9960 0.2706  1 Tc 1.86
F: 0.3184 0.7294 0.0040  1 Tc 1.86
F: 0.6816 0.2706 0.9960  1 Tc 1.86
F: 0.5000 0.5000 0.5000  2 Tc 2.04
F: 0.0000 0.0000 0.0000  2 Tc 2.04
F: 0.6789 0.9192 0.0808  1 Tc 1.86
F: 0.3211 0.0808 0.9192  1 Tc 1.86
F: 0.8211 0.4192 0.5808  1 Tc 1.86
F: 0.1789 0.5808 0.4192  1 Tc 1.86
F: 0.3566 0.9394 0.3100  1 Tc 1.92, 1 Li 2.00
F: 0.6434 0.0606 0.6900  1 Tc 1.92, 1 Li 2.00
F: 0.3941 0.3100 0.9394  1 Tc 1.92, 1 Li 2.00
F: 0.1434 0.1900 0.5606  1 Tc 1.92, 1 Li 2.00
F: 0.6059 0.6900 0.0606  1 Tc 1.92, 1 Li 2.00
F: 0.8566 0.8100 0.4394  1 Tc 1.92, 1 Li 2.00
F: 0.1059 0.5606 0.1900  1 Tc 1.92, 1 Li 2.00
F: 0.8941 0.4394 0.8100  1 Tc 1.92, 1 Li 2.00

Summary:
* raw formation energy: -2.144 eV/atom



2.
## LiTc2F8 (PBE-GGA)

Data for LiTc2F8 after structural relaxation.

Cell lengths 5.0520, 5.8634, 5.8634 Å; angles 62.01, 96.27, 96.27 degrees
Closest atoms and distances in Å follow each position.
Element x y z (fractional)
Li: 0.0000 0.0000 0.0000  2 F 1.85
Tc: 0.4944 0.7442 0.7442  6 F 1.90-2.08
Tc: 0.5056 0.2558 0.2558  6 F 1.90-2.08
F: 0.2891 0.3828 0.9043  2 Tc 2.06-2.08
F: 0.7109 0.0957 0.6172  2 Tc 2.06-2.08
F: 0.2362 0.8742 0.8742  1 Li 1.85, 1 Tc 1.96
F: 0.7638 0.1258 0.1258  1 Li 1.85, 1 Tc 1.96
F: 0.2891 0.9043 0.3828  2 Tc 2.06-2.08
F: 0.7109 0.6172 0.0957  2 Tc 2.06-2.08
F: 0.7464 0.6195 0.6195  1 Tc 1.90
F: 0.2536 0.3805 0.3805  1 Tc 1.90

Summary:
* E above lowest polymorph: 0 meV/atom
* raw formation energy: -2.072 eV/atom



3.
## Li2TcF7 (PBE-GGA)

Data for Li2TcF7 after structural relaxation.

Cell lengths 6.3112, 5.6988, 9.2372 Å; angles 83.62, 70.02, 56.38 degrees
Closest atoms and distances in Å follow each position.
Element x y z (fractional)
Li: 0.6697 0.9526 0.6179  4 F 1.92-2.02
Li: 0.7598 0.4526 0.1179  4 F 1.92-2.02
Li: 0.2402 0.5474 0.8821  4 F 1.92-2.02
Li: 0.3303 0.0474 0.3821  4 F 1.92-2.02
Tc: 0.9393 0.2500 0.7500  7 F 1.94-2.01
Tc: 0.0607 0.7500 0.2500  7 F 1.94-2.01
F: 0.7232 0.6610 0.7554  1 Li 1.92, 1 Tc 1.95
F: 0.8603 0.1610 0.2554  1 Li 1.92, 1 Tc 1.95
F: 0.2611 0.7450 0.0366  1 Tc 1.94, 1 Li 1.99
F: 0.2942 0.1798 0.6170  1 Li 1.98, 1 Tc 1.98
F: 0.6208 0.2500 0.7500  1 Tc 2.01, 2 Li 2.02
F: 0.9574 0.2450 0.5366  1 Tc 1.94, 1 Li 1.99
F: 0.0910 0.3202 0.8830  1 Li 1.98, 1 Tc 1.98
F: 0.9090 0.6798 0.1170  1 Li 1.98, 1 Tc 1.98
F: 0.0426 0.7550 0.4634  1 Tc 1.94, 1 Li 1.99
F: 0.3792 0.7500 0.2500  1 Tc 2.01, 2 Li 2.02
F: 0.7058 0.8202 0.3830  1 Li 1.98, 1 Tc 1.98
F: 0.7389 0.2550 0.9634  1 Tc 1.94, 1 Li 1.99
F: 0.1397 0.8390 0.7446  1 Li 1.92, 1 Tc 1.95
F: 0.2768 0.3390 0.2446  1 Li 1.92, 1 Tc 1.95

Summary:
* raw formation energy: -2.408 eV/atom



4.
## Li3Tl2TcF12 (PBE-GGA)

Data for Li3Tl2TcF12 after structural relaxation.

Cell lengths 8.2876, 8.2876, 8.2876 Å; angles 47.32, 47.32, 47.32 degrees
Closest atoms and distances in Å follow each position.
Element x y z (fractional)
Li: 0.5000 0.0000 0.0000  4 F 1.99
Li: 0.0000 0.5000 0.0000  4 F 1.99
Li: 0.0000 0.0000 0.5000  4 F 1.99
Tl: 0.5758 0.5758 0.5758  3 F 2.30
Tl: 0.4242 0.4242 0.4242  3 F 2.30
Tc: 0.0000 0.0000 0.0000  6 F 1.89
F: 0.3508 0.3508 0.9042  2 Li 1.99
F: 0.9149 0.9149 0.3183  1 Tc 1.89
F: 0.3183 0.9149 0.9149  1 Tc 1.89
F: 0.9042 0.3508 0.3508  2 Li 1.99
F: 0.9149 0.3183 0.9149  1 Tc 1.89
F: 0.3508 0.9042 0.3508  2 Li 1.99
F: 0.6492 0.6492 0.0958  2 Li 1.99
F: 0.0851 0.0851 0.6817  1 Tc 1.89
F: 0.6817 0.0851 0.0851  1 Tc 1.89
F: 0.0958 0.6492 0.6492  2 Li 1.99
F: 0.0851 0.6817 0.0851  1 Tc 1.89
F: 0.6492 0.0958 0.6492  2 Li 1.99

Summary:
* raw formation energy: -2.090 eV/atom



5.
## LiTl2TcF6 (PBE-GGA)

Data for LiTl2TcF6 after structural relaxation.

Cell lengths 5.8955, 6.0346, 8.5101 Å; angles 90.00, 90.00, 90.00 degrees
Closest atoms and distances in Å follow each position.
Element x y z (fractional)
Li: 0.0000 0.7501 0.5000  6 F 2.16-2.17
Li: 0.5000 0.2499 0.0000  6 F 2.16-2.17
Tl: 0.5000 0.7499 0.2472  12 F 2.95-3.02
Tl: 0.0000 0.2501 0.7472  12 F 2.95-3.02
Tl: 0.5000 0.7499 0.7528  12 F 2.95-3.02
Tl: 0.0000 0.2501 0.2528  12 F 2.95-3.02
Tc: 0.5000 0.2499 0.5000  6 F 2.05-2.09
Tc: 0.0000 0.7501 0.0000  6 F 2.05-2.09
F: 0.5000 0.2499 0.2542  1 Tc 2.09, 1 Li 2.16
F: 0.5000 0.2499 0.7458  1 Tc 2.09, 1 Li 2.16
F: 0.0000 0.7501 0.2458  1 Tc 2.09, 1 Li 2.16
F: 0.0000 0.7501 0.7542  1 Tc 2.09, 1 Li 2.16
F: 0.2609 0.0031 0.5000  1 Tc 2.05, 1 Li 2.17
F: 0.7391 0.0031 0.5000  1 Tc 2.05, 1 Li 2.17
F: 0.2609 0.4967 0.5000  1 Tc 2.05, 1 Li 2.17
F: 0.7391 0.4967 0.5000  1 Tc 2.05, 1 Li 2.17
F: 0.7609 0.5033 0.0000  1 Tc 2.05, 1 Li 2.17
F: 0.2391 0.5033 0.0000  1 Tc 2.05, 1 Li 2.17
F: 0.2391 0.9969 0.0000  1 Tc 2.05, 1 Li 2.17
F: 0.7609 0.9969 0.0000  1 Tc 2.05, 1 Li 2.17

Summary:
* raw formation energy: -2.052 eV/atom



6.
## Li2TlTcF8 (PBE-GGA)

Data for Li2TlTcF8 after structural relaxation.

Cell lengths 5.3787, 5.3787, 7.8141 Å; angles 90.00, 90.00, 120.00 degrees
Closest atoms and distances in Å follow each position.
Element x y z (fractional)
Li: 0.3333 0.6667 0.7132  4 F 1.78-1.92
Li: 0.6667 0.3333 0.2868  4 F 1.78-1.92
Tl: 0.0000 0.0000 0.5000  12 F 3.11-3.12
Tc: 0.0000 0.0000 0.0000  6 F 1.92
F: 0.1622 0.3244 0.8492  1 Li 1.92, 1 Tc 1.92
F: 0.1622 0.8378 0.8492  1 Li 1.92, 1 Tc 1.92
F: 0.6756 0.8378 0.8492  1 Li 1.92, 1 Tc 1.92
F: 0.3244 0.1622 0.1508  1 Li 1.92, 1 Tc 1.92
F: 0.6667 0.3333 0.5147  1 Li 1.78
F: 0.3333 0.6667 0.4853  1 Li 1.78
F: 0.8378 0.6756 0.1508  1 Li 1.92, 1 Tc 1.92
F: 0.8378 0.1622 0.1508  1 Li 1.92, 1 Tc 1.92

Summary:
* raw formation energy: -2.216 eV/atom



> Among the records above, which one has the highest raw formation energy?

LiTl2TcF6



Copy entry 1 word for word.
## LiTc2F11 (PBE-GGA)

Data for LiTc2F11 after structural relaxation.

Cell lengths 10.9187, 8.5612, 8.5612 Å; angles 56.26, 50.38, 50.38 degrees
Closest atoms and distances in Å follow each position.
Element x y z (fractional)
Li: 0.7500 0.7500 0.7500  4 F 2.00
Li: 0.2500 0.2500 0.2500  4 F 2.00
Tc: 0.5910 0.7213 0.2787  6 F 1.86-2.04
Tc: 0.4090 0.2787 0.7213  6 F 1.86-2.04
Tc: 0.9090 0.2213 0.7787  6 F 1.86-2.04
Tc: 0.0910 0.7787 0.2213  6 F 1.86-2.04
F: 0.5518 0.7706 0.4960  1 Tc 1.86
F: 0.4482 0.2294 0.5040  1 Tc 1.86
F: 0.1816 0.4960 0.7706  1 Tc 1.86
F: 0.9482 0.0040 0.7294  1 Tc 1.86
F: 0.8184 0.5040 0.2294  1 Tc 1.86
F: 0.0518 0.9960 0.2706  1 Tc 1.86
F: 0.3184 0.7294 0.0040  1 Tc 1.86
F: 0.6816 0.2706 0.9960  1 Tc 1.86
F: 0.5000 0.5000 0.5000  2 Tc 2.04
F: 0.0000 0.0000 0.0000  2 Tc 2.04
F: 0.6789 0.9192 0.0808  1 Tc 1.86
F: 0.3211 0.0808 0.9192  1 Tc 1.86
F: 0.8211 0.4192 0.5808  1 Tc 1.86
F: 0.1789 0.5808 0.4192  1 Tc 1.86
F: 0.3566 0.9394 0.3100  1 Tc 1.92, 1 Li 2.00
F: 0.6434 0.0606 0.6900  1 Tc 1.92, 1 Li 2.00
F: 0.3941 0.3100 0.9394  1 Tc 1.92, 1 Li 2.00
F: 0.1434 0.1900 0.5606  1 Tc 1.92, 1 Li 2.00
F: 0.6059 0.6900 0.0606  1 Tc 1.92, 1 Li 2.00
F: 0.8566 0.8100 0.4394  1 Tc 1.92, 1 Li 2.00
F: 0.1059 0.5606 0.1900  1 Tc 1.92, 1 Li 2.00
F: 0.8941 0.4394 0.8100  1 Tc 1.92, 1 Li 2.00

Summary:
* raw formation energy: -2.144 eV/atom



Repeat the fourth record exactly.
## Li3Tl2TcF12 (PBE-GGA)

Data for Li3Tl2TcF12 after structural relaxation.

Cell lengths 8.2876, 8.2876, 8.2876 Å; angles 47.32, 47.32, 47.32 degrees
Closest atoms and distances in Å follow each position.
Element x y z (fractional)
Li: 0.5000 0.0000 0.0000  4 F 1.99
Li: 0.0000 0.5000 0.0000  4 F 1.99
Li: 0.0000 0.0000 0.5000  4 F 1.99
Tl: 0.5758 0.5758 0.5758  3 F 2.30
Tl: 0.4242 0.4242 0.4242  3 F 2.30
Tc: 0.0000 0.0000 0.0000  6 F 1.89
F: 0.3508 0.3508 0.9042  2 Li 1.99
F: 0.9149 0.9149 0.3183  1 Tc 1.89
F: 0.3183 0.9149 0.9149  1 Tc 1.89
F: 0.9042 0.3508 0.3508  2 Li 1.99
F: 0.9149 0.3183 0.9149  1 Tc 1.89
F: 0.3508 0.9042 0.3508  2 Li 1.99
F: 0.6492 0.6492 0.0958  2 Li 1.99
F: 0.0851 0.0851 0.6817  1 Tc 1.89
F: 0.6817 0.0851 0.0851  1 Tc 1.89
F: 0.0958 0.6492 0.6492  2 Li 1.99
F: 0.0851 0.6817 0.0851  1 Tc 1.89
F: 0.6492 0.0958 0.6492  2 Li 1.99

Summary:
* raw formation energy: -2.090 eV/atom